First-principles (GGA-PBEsol) data for Ta6Be15Cu8 after structural relaxation, as listed in the Alexandria database.

The formation enthalpy at 0 K comes out at -0.21 eV/atom.

The space group is Fm-3m (No. 225) and the conventional cell measures 10.716, 10.716 and 10.716 Å, with angles of 90.00, 90.00 and 90.00 degrees. The distinct sites, in fractional coordinates, are Ta at (0.000, 0.000, 0.193), Be at (0.000, 0.000, 0.500), Be at (0.000, 0.250, 0.250), Be at (0.173, 0.173, 0.173) and Cu at (0.123, 0.123, 0.377).